No. 1
! KRb2IrBr6, optimized geometry, DFT PBE-GGA; values from VASP
! Formation energy from raw total energies (eV/atom): -1.115
! M_tot (μB/cell): 0.0
! Relative energy among the computed polymorphs (eV per formula unit): 0.000
! Density (g cm⁻³): 4.0
! Space-group type: Pmmn
&SYSTEM
  ibrav = 0, nat = 20, ntyp = 4
/
ATOMIC_SPECIES
K 39.10 K.upf
Rb 85.47 Rb.upf
Ir 192.22 Ir.upf
Br 79.90 Br.upf
ATOMIC_POSITIONS angstrom
K 1.9099 2.8174 1.7260
K 5.7297 8.4523 6.8221
Rb 1.9099 0.3253 5.9875
Rb 1.9099 5.3095 5.9875
Rb 5.7297 5.9602 2.5606
Rb 5.7297 10.9444 2.5606
Ir 1.9099 8.4523 2.4799
Ir 5.7297 2.8174 6.0682
Br 0.1209 8.4523 0.7116
Br 0.1487 8.4523 4.2871
Br 1.9099 5.9347 2.4866
Br 1.9099 10.9699 2.4866
Br 3.6711 8.4523 4.2871
Br 3.6989 8.4523 0.7116
Br 3.9407 2.8174 7.8365
Br 3.9685 2.8174 4.2610
Br 5.7297 0.2998 6.0615
Br 5.7297 5.3351 6.0615
Br 7.4909 2.8174 4.2610
Br 7.5187 2.8174 7.8365
CELL_PARAMETERS angstrom
7.6396 0.0000 0.0000
0.0000 11.2697 0.0000
0.0000 0.0000 8.5481

=====

No. 2
! BePbCl3, optimized geometry, DFT PBE-GGA; values from VASP
! Formation energy from raw total energies (eV/atom): -0.042
! M_tot (μB/cell): 0.8
! DOS(E_F) (states/eV/cell): 1.46
! Relative energy among the computed polymorphs (eV per formula unit): 2.976
! Density (g cm⁻³): 3.1
! Space-group type: Pm-3m
&SYSTEM
  ibrav = 0, nat = 5, ntyp = 3
/
ATOMIC_SPECIES
Be 9.01 Be.upf
Pb 207.20 Pb.upf
Cl 35.45 Cl.upf
ATOMIC_POSITIONS angstrom
Be 0.0000 0.0000 0.0000
Pb 2.7897 2.7897 2.7897
Cl 0.0000 2.7897 2.7897
Cl 2.7897 0.0000 2.7897
Cl 2.7897 2.7897 0.0000
CELL_PARAMETERS angstrom
5.5794 0.0000 0.0000
0.0000 5.5794 0.0000
0.0000 0.0000 5.5794

=====

No. 3
! CaAl2Pt6, optimized geometry, DFT PBE-GGA; values from VASP
! M_tot (μB/cell): 0.0
! DOS(E_F) (states/eV/cell): 5.95
! Density (g cm⁻³): 11.9
! Space-group type: Fd-3m
! Energy of formation from the pure elements (eV per formula unit): -4.2
&SYSTEM
  ibrav = 0, nat = 18, ntyp = 3
/
ATOMIC_SPECIES
Ca 40.08 Ca.upf
Al 26.98 Al.upf
Pt 195.08 Pt.upf
ATOMIC_POSITIONS angstrom
Ca 1.4040 1.4040 1.4040
Ca 9.8277 9.8277 9.8277
Al 5.6158 2.8079 2.8079
Al 2.8079 5.6158 2.8079
Al 2.8079 2.8079 5.6158
Al 5.6158 5.6158 5.6158
Pt 4.2119 4.2119 1.3893
Pt 4.2119 1.3893 4.2119
Pt 7.0344 4.2119 4.2119
Pt 7.0198 7.0198 4.1972
Pt 7.0198 4.1972 7.0198
Pt 9.8423 7.0198 7.0198
Pt 1.3893 4.2119 4.2119
Pt 4.2119 7.0344 4.2119
Pt 4.2119 4.2119 7.0344
Pt 4.1972 7.0198 7.0198
Pt 7.0198 9.8423 7.0198
Pt 7.0198 7.0198 9.8423
CELL_PARAMETERS angstrom
0.0000 5.6158 5.6158
5.6158 0.0000 5.6158
5.6158 5.6158 0.0000

=====

No. 4
! Sm2HoScSe6, optimized geometry, DFT PBE-GGA; values from VASP
! Formation energy from raw total energies (eV/atom): -1.792
! M_tot (μB/cell): 0.0
! DOS(E_F) (states/eV/cell): 0.00
! Density (g cm⁻³): 5.7
! Space-group type: R3
&SYSTEM
  ibrav = 0, nat = 10, ntyp = 4
/
ATOMIC_SPECIES
Sm 150.36 Sm.upf
Ho 164.93 Ho.upf
Sc 44.96 Sc.upf
Se 78.96 Se.upf
ATOMIC_POSITIONS angstrom
Sm 0.0000 0.0000 0.0000
Sm 0.0000 0.0000 9.5623
Ho 0.0000 0.0000 3.8116
Sc 0.0000 0.0000 13.3649
Se -1.2831 -2.3301 8.3761
Se -2.1365 0.1305 11.6253
Se -1.3764 2.2763 8.3761
Se 0.9552 -1.9155 11.6253
Se 2.6595 0.0538 8.3761
Se 1.1813 1.7850 11.6253
CELL_PARAMETERS angstrom
3.5967 2.0765 6.3963
-3.5967 2.0765 6.3963
0.0000 -4.1531 6.3963

=====

No. 5
! PmTh3Mn, optimized geometry, DFT PBE-GGA; values from VASP
! M_tot (μB/cell): 0.0
! DOS(E_F) (states/eV/cell): 9.34
! Density (g cm⁻³): 9.8
! Space-group type: Pm-3m
! Energy of formation from the pure elements (eV per formula unit): 0.7
&SYSTEM
  ibrav = 0, nat = 5, ntyp = 3
/
ATOMIC_SPECIES
Pm 145.00 Pm.upf
Th 232.04 Th.upf
Mn 54.94 Mn.upf
ATOMIC_POSITIONS angstrom
Pm 0.0000 0.0000 0.0000
Th 0.0000 2.6673 2.6673
Th 2.6673 0.0000 2.6673
Th 2.6673 2.6673 0.0000
Mn 2.6673 2.6673 2.6673
CELL_PARAMETERS angstrom
5.3345 0.0000 0.0000
0.0000 5.3345 0.0000
0.0000 0.0000 5.3345

=====

No. 6
! TiSbIrI2, optimized geometry, DFT PBE-GGA; values from VASP
! Formation energy from raw total energies (eV/atom): 1.025
! M_tot (μB/cell): 2.4
! DOS(E_F) (states/eV/cell): 8.68
! Relative energy among the computed polymorphs (eV per formula unit): 0.916
! Density (g cm⁻³): 6.7
! Space-group type: P4/mmm
&SYSTEM
  ibrav = 0, nat = 5, ntyp = 4
/
ATOMIC_SPECIES
Ti 47.87 Ti.upf
Sb 121.76 Sb.upf
Ir 192.22 Ir.upf
I 126.90 I.upf
ATOMIC_POSITIONS angstrom
Ti 0.0000 0.0000 0.0000
Sb 0.0000 0.0000 2.7750
Ir 2.6170 2.6170 2.7750
I 0.0000 2.6170 0.0000
I 2.6170 0.0000 0.0000
CELL_PARAMETERS angstrom
5.2339 0.0000 0.0000
0.0000 5.2339 0.0000
0.0000 0.0000 5.5500

=====

No. 7
! U2SbO, optimized geometry, DFT PBE-GGA; values from VASP
! Formation energy from raw total energies (eV/atom): -1.117
! M_tot (μB/cell): 4.7
! DOS(E_F) (states/eV/cell): 8.28
! Relative energy among the computed polymorphs (eV per formula unit): 0.894
! Density (g cm⁻³): 12.3
! Space-group type: R-3m
&SYSTEM
  ibrav = 0, nat = 4, ntyp = 3
/
ATOMIC_SPECIES
U 238.03 U.upf
Sb 121.76 Sb.upf
O 16.00 O.upf
ATOMIC_POSITIONS angstrom
U 0.0000 0.0000 4.5543
U 0.0000 0.0000 15.6031
Sb 0.0000 0.0000 0.0000
O 0.0000 0.0000 10.0787
CELL_PARAMETERS angstrom
1.8886 1.0904 6.7191
-1.8886 1.0904 6.7191
0.0000 -2.1808 6.7191

=====

No. 8
! LiZnGa3, optimized geometry, DFT PBE-GGA; values from VASP
! M_tot (μB/cell): 0.0
! DOS(E_F) (states/eV/cell): 1.94
! Relative energy among the computed polymorphs (eV per formula unit): 1.913
! Density (g cm⁻³): 4.7
! Space-group type: Pm-3m
! Energy of formation from the pure elements (eV per formula unit): 1.5
&SYSTEM
  ibrav = 0, nat = 5, ntyp = 3
/
ATOMIC_SPECIES
Li 6.94 Li.upf
Zn 65.41 Zn.upf
Ga 69.72 Ga.upf
ATOMIC_POSITIONS angstrom
Li 0.0000 0.0000 0.0000
Zn 2.3226 2.3226 2.3226
Ga 0.0000 0.0000 2.3226
Ga 0.0000 2.3226 0.0000
Ga 2.3226 0.0000 0.0000
CELL_PARAMETERS angstrom
4.6452 0.0000 0.0000
0.0000 4.6452 0.0000
0.0000 0.0000 4.6452

=====

No. 9
! HBr2F, optimized geometry, DFT PBE-GGA; values from VASP
! M_tot (μB/cell): 0.0
! DOS(E_F) (states/eV/cell): 4.73
! Relative energy among the computed polymorphs (eV per formula unit): 2.547
! Density (g cm⁻³): 4.8
! Space-group type: Fm-3m
&SYSTEM
  ibrav = 0, nat = 4, ntyp = 3
/
ATOMIC_SPECIES
H 1.01 H.upf
Br 79.90 Br.upf
F 19.00 F.upf
ATOMIC_POSITIONS angstrom
H 0.0000 0.0000 0.0000
Br 1.5712 1.5712 1.5712
Br 4.7137 4.7137 4.7137
F 3.1425 3.1425 3.1425
CELL_PARAMETERS angstrom
0.0000 3.1425 3.1425
3.1425 0.0000 3.1425
3.1425 3.1425 0.0000

=====

No. 10
! Ba2YZrRh, optimized geometry, DFT PBE-GGA; values from VASP
! M_tot (μB/cell): 1.0
! DOS(E_F) (states/eV/cell): 8.54
! Density (g cm⁻³): 4.6
! Space-group type: P4/mmm
! Energy of formation from the pure elements (eV per formula unit): 7.0
&SYSTEM
  ibrav = 0, nat = 5, ntyp = 4
/
ATOMIC_SPECIES
Ba 137.33 Ba.upf
Y 88.91 Y.upf
Zr 91.22 Zr.upf
Rh 102.91 Rh.upf
ATOMIC_POSITIONS angstrom
Ba 0.0000 3.1280 0.0000
Ba 3.1280 0.0000 0.0000
Y 0.0000 0.0000 0.0000
Zr 0.0000 0.0000 2.5751
Rh 3.1280 3.1280 2.5751
CELL_PARAMETERS angstrom
6.2561 0.0000 0.0000
0.0000 6.2561 0.0000
0.0000 0.0000 5.1502

=====

No. 11
! OsAu, optimized geometry, DFT PBE-GGA; values from VASP
! M_tot (μB/cell): 0.0
! DOS(E_F) (states/eV/cell): 3.42
! Relative energy among the computed polymorphs (eV per formula unit): 0.827
! Density (g cm⁻³): 20.3
! Space-group type: I4_1/amd
! Energy of formation from the pure elements (eV per formula unit): 1.4
&SYSTEM
  ibrav = 0, nat = 4, ntyp = 2
/
ATOMIC_SPECIES
Os 190.23 Os.upf
Au 196.97 Au.upf
ATOMIC_POSITIONS angstrom
Os 1.9909 0.9954 0.9979
Os 0.0000 0.9954 2.9937
Au 1.9909 -0.9954 2.9937
Au 0.0000 2.9863 0.9979
CELL_PARAMETERS angstrom
-1.9909 1.9909 3.9916
1.9909 -1.9909 3.9916
1.9909 1.9909 -3.9916

=====

No. 12
! V7Co6Ni16, optimized geometry, DFT PBE-GGA; values from VASP
! M_tot (μB/cell): 8.6
! DOS(E_F) (states/eV/cell): 33.02
! Density (g cm⁻³): 7.8
! Space-group type: Fm-3m
! Energy of formation from the pure elements (eV per formula unit): 2.5
&SYSTEM
  ibrav = 0, nat = 29, ntyp = 3
/
ATOMIC_SPECIES
V 50.94 V.upf
Co 58.93 Co.upf
Ni 58.69 Ni.upf
ATOMIC_POSITIONS angstrom
V 0.0000 0.0000 0.0000
V 2.8044 2.8044 0.0000
V 2.8044 0.0000 2.8044
V 5.6088 2.8044 2.8044
V 0.0000 2.8044 2.8044
V 2.8044 5.6088 2.8044
V 2.8044 2.8044 5.6088
Co 5.6088 5.6088 3.2390
Co 5.6088 3.2390 5.6088
Co 7.9787 5.6088 5.6088
Co 3.2390 5.6088 5.6088
Co 5.6088 7.9787 5.6088
Co 5.6088 5.6088 7.9787
Ni 3.7395 7.4782 7.4782
Ni 7.4782 3.7395 3.7395
Ni 1.3245 1.3245 1.3245
Ni 4.2843 4.2843 1.3245
Ni 4.2843 1.3245 4.2843
Ni 7.4782 3.7395 7.4782
Ni 7.4782 7.4782 3.7395
Ni 3.7395 3.7395 3.7395
Ni 9.8932 6.9334 6.9334
Ni 1.3245 4.2843 4.2843
Ni 3.7395 7.4782 3.7395
Ni 3.7395 3.7395 7.4782
Ni 7.4782 7.4782 7.4782
Ni 6.9334 9.8932 6.9334
Ni 6.9334 6.9334 9.8932
Ni 9.8932 9.8932 9.8932
CELL_PARAMETERS angstrom
0.0000 5.6088 5.6088
5.6088 0.0000 5.6088
5.6088 5.6088 0.0000

=====

No. 13
! Cd2ReSb, optimized geometry, DFT PBE-GGA; values from VASP
! Formation energy from raw total energies (eV/atom): 0.627
! M_tot (μB/cell): 0.5
! DOS(E_F) (states/eV/cell): 2.83
! Density (g cm⁻³): 11.2
! Space-group type: I4/mmm
&SYSTEM
  ibrav = 0, nat = 4, ntyp = 3
/
ATOMIC_SPECIES
Cd 112.41 Cd.upf
Re 186.21 Re.upf
Sb 121.76 Sb.upf
ATOMIC_POSITIONS angstrom
Cd 2.0216 0.0000 2.4124
Cd 0.0000 2.0216 2.4124
Re 0.0000 0.0000 0.0000
Sb 0.0000 0.0000 4.8248
CELL_PARAMETERS angstrom
-2.0216 2.0216 4.8248
2.0216 -2.0216 4.8248
2.0216 2.0216 -4.8248

=====

No. 14
! Nd2Sb4Pd3Pt, optimized geometry, DFT PBE-GGA; values from VASP
! Formation energy from raw total energies (eV/atom): -0.804
! M_tot (μB/cell): 0.0
! DOS(E_F) (states/eV/cell): 4.26
! Density (g cm⁻³): 9.3
! Space-group type: P-4m2
&SYSTEM
  ibrav = 0, nat = 10, ntyp = 4
/
ATOMIC_SPECIES
Nd 144.24 Nd.upf
Sb 121.76 Sb.upf
Pd 106.42 Pd.upf
Pt 195.08 Pt.upf
ATOMIC_POSITIONS angstrom
Nd 0.0000 2.3133 2.5252
Nd 2.3133 0.0000 8.1802
Sb 0.0000 0.0000 5.3527
Sb 0.0000 2.3133 9.3323
Sb 2.3133 0.0000 1.3731
Sb 2.3133 2.3133 5.3527
Pd 0.0000 0.0000 0.0000
Pd 0.0000 2.3133 6.7489
Pd 2.3133 0.0000 3.9565
Pt 2.3133 2.3133 0.0000
CELL_PARAMETERS angstrom
4.6266 0.0000 0.0000
0.0000 4.6266 0.0000
0.0000 0.0000 10.7054